Entry 1:
This record from Alexandria via LeMat-Bulk describes a relaxed ZnIBr crystal. The functional is PBE-GGA.

Symmetry ... P1 (1)
Uncorrected formation energy ... -0.7190 eV/atom

Structure (POSCAR):
```
ZnIBr
1.0
4.005 0.000 0.000
0.016 4.175 0.000
0.067 0.025 6.793
Zn I Br
1 1 1
direct
0.000 0.000 0.000
0.005 0.501 0.762
0.496 0.998 0.216
```

***

Entry 2:
This record from Alexandria via LeMat-Bulk describes a relaxed Zn2IBr2 crystal. The functional is PBE-GGA.

Energy above the most stable polymorph in this dataset ... 0.261 eV per atom
Symmetry ... P4/mbm (127)
Uncorrected formation energy ... 0.0491 eV/atom

Structure (POSCAR):
```
Zn2IBr2
1.0
9.578 0.000 0.000
0.000 9.578 0.000
0.000 0.000 3.829
Zn I Br
4 2 4
direct
0.234 0.266 0.000
0.266 0.766 0.000
0.734 0.234 0.000
0.766 0.734 0.000
0.000 0.000 0.500
0.500 0.500 0.500
0.118 0.382 0.500
0.382 0.882 0.500
0.618 0.118 0.500
0.882 0.618 0.500
```

***

Entry 3:
This record from Alexandria via LeMat-Bulk describes a relaxed Zn2IBr2 crystal. The functional is PBE-GGA.

Energy above the most stable polymorph in this dataset ... 0.000 eV per atom
Symmetry ... I4/mmm (139)
Uncorrected formation energy ... -0.2118 eV/atom

Structure (POSCAR):
```
Zn2IBr2
1.0
4.968 0.000 0.000
0.000 4.968 0.000
0.000 0.000 11.208
Zn I Br
4 2 4
direct
0.000 0.500 0.250
0.000 0.500 0.750
0.500 0.000 0.250
0.500 0.000 0.750
0.000 0.000 0.000
0.500 0.500 0.500
0.000 0.000 0.336
0.000 0.000 0.664
0.500 0.500 0.164
0.500 0.500 0.836
```

***

Entry 4:
This record from Alexandria via LeMat-Bulk describes a relaxed ZnIBr crystal. The functional is PBE-GGA.

Symmetry ... I2_12_12_1 (24)
Uncorrected formation energy ... -0.7308 eV/atom

Structure (POSCAR):
```
ZnIBr
1.0
6.247 0.000 0.000
0.000 6.551 0.000
0.000 0.000 11.012
Zn I Br
4 4 4
direct
0.000 0.250 0.123
0.000 0.750 0.377
0.500 0.250 0.877
0.500 0.750 0.623
0.242 0.500 0.250
0.258 0.500 0.750
0.742 0.000 0.750
0.758 0.000 0.250
0.250 0.043 0.000
0.250 0.957 0.500
0.750 0.457 0.000
0.750 0.543 0.500
```

***

Entry 5:
This record from Alexandria via LeMat-Bulk describes a relaxed Zn2IBr crystal. The functional is PBE-GGA.

Energy above the most stable polymorph in this dataset ... 0.094 eV per atom
Symmetry ... Fm-3m (225)
Uncorrected formation energy ... 0.0646 eV/atom

Structure (POSCAR):
```
Zn2IBr
1.0
7.344 0.000 0.000
0.000 7.344 0.000
0.000 0.000 7.344
Zn I Br
8 4 4
direct
0.250 0.250 0.250
0.250 0.250 0.750
0.250 0.750 0.250
0.250 0.750 0.750
0.750 0.250 0.250
0.750 0.250 0.750
0.750 0.750 0.250
0.750 0.750 0.750
0.000 0.000 0.000
0.000 0.500 0.500
0.500 0.000 0.500
0.500 0.500 0.000
0.000 0.000 0.500
0.000 0.500 0.000
0.500 0.000 0.000
0.500 0.500 0.500
```

***

Entry 6:
This record from Alexandria via LeMat-Bulk describes a relaxed Zn3I5Br crystal. The functional is PBE-GGA.

Symmetry ... Cmmm (65)
Uncorrected formation energy ... -0.4503 eV/atom

Structure (POSCAR):
```
Zn3I5Br
1.0
5.195 -15.759 0.000
5.195 15.759 0.000
0.000 0.000 3.960
Zn I Br
6 10 2
direct
0.000 0.000 0.000
0.154 0.846 0.500
0.345 0.655 0.000
0.500 0.500 0.500
0.655 0.345 0.000
0.846 0.154 0.500
0.017 0.345 0.000
0.060 0.940 0.500
0.285 0.715 0.500
0.317 0.317 0.000
0.345 0.017 0.000
0.655 0.983 0.000
0.683 0.683 0.000
0.715 0.285 0.500
0.940 0.060 0.500
0.983 0.655 0.000
0.400 0.600 0.500
0.600 0.400 0.500
```

***

- What is the uncorrected formation energy in the third record?
  -0.2118 eV/atom